[1]
A plane-wave DFT calculation with PBE was carried out for a geometry-optimized PrTh2P3Rh12 structure.

ρ = 10325 kg/m³
final energy = -7.324 eV per atom

Cell: 6.8188 6.8188 6.8188 Å, 83.20 83.20 83.20°
Closest atoms and distances in Å follow each position.
Atoms (fractional coordinates):
Pr 0.0000 0.0000 0.0000  6 Rh 2.75
Th 0.6289 0.6289 0.6289  3 Rh 2.51
Th 0.3711 0.3711 0.3711  3 Rh 2.51
P 0.5000 0.0000 0.0000  2 Rh 2.26
P 0.0000 0.5000 0.0000  2 Rh 2.26
P 0.0000 0.0000 0.5000  2 Rh 2.26
Rh 0.3628 0.3628 0.9072  2 P 2.57, 1 Rh 2.72
Rh 0.8193 0.8193 0.3452  1 P 2.26, 1 Th 2.51
Rh 0.3452 0.8193 0.8193  1 P 2.26, 1 Th 2.51
Rh 0.9072 0.3628 0.3628  2 P 2.57, 1 Rh 2.72
Rh 0.8193 0.3452 0.8193  1 P 2.26, 1 Th 2.51
Rh 0.3628 0.9072 0.3628  2 P 2.57, 1 Rh 2.72
Rh 0.6372 0.6372 0.0928  2 P 2.57, 1 Rh 2.72
Rh 0.1807 0.1807 0.6548  1 P 2.26, 1 Th 2.51
Rh 0.6548 0.1807 0.1807  1 P 2.26, 1 Th 2.51
Rh 0.0928 0.6372 0.6372  2 P 2.57, 1 Rh 2.72
Rh 0.1807 0.6548 0.1807  1 P 2.26, 1 Th 2.51
Rh 0.6372 0.0928 0.6372  2 P 2.57, 1 Rh 2.72

[2]
A plane-wave DFT calculation with PBE was carried out for a geometry-optimized Ba4LiLa3Se8 structure.

uncorrected formation energy = -1.9209 eV per atom
ρ = 5207 kg/m³
final energy = -5.187 eV per atom

Cell: 8.9273 9.0295 8.9275 Å, 119.63 120.00 90.00°
Closest atoms and distances in Å follow each position.
Atoms (fractional coordinates):
Ba 0.5000 0.0000 0.0000  6 Se 3.29
Ba 0.5000 0.0000 0.5000  6 Se 3.28-3.30
Ba 0.0000 0.0000 0.0000  6 Se 3.28-3.30
Ba 0.0000 0.0000 0.5000  6 Se 3.28-3.30
Li 0.0000 0.5000 0.0000  6 Se 3.07
La 0.5000 0.5000 0.0000  6 Se 3.06-3.07
La 0.5000 0.5000 0.5000  6 Se 3.06-3.07
La 0.0000 0.5000 0.5000  6 Se 3.06-3.07
Se 0.2414 0.7229 0.9816  2 La 3.06, 1 Li 3.07, 3 Ba 3.29-3.30
Se 0.2413 0.7229 0.4826  2 La 3.06, 1 Li 3.07, 3 Ba 3.29-3.30
Se 0.2580 0.2739 0.5160  3 La 3.07, 3 Ba 3.28
Se 0.7402 0.7229 0.9816  2 La 3.06, 1 Li 3.07, 3 Ba 3.29-3.30
Se 0.2598 0.2771 0.0184  2 La 3.06, 1 Li 3.07, 3 Ba 3.29-3.30
Se 0.7420 0.7261 0.4840  3 La 3.07, 3 Ba 3.28
Se 0.7587 0.2771 0.5174  2 La 3.06, 1 Li 3.07, 3 Ba 3.29-3.30
Se 0.7586 0.2771 0.0184  2 La 3.06, 1 Li 3.07, 3 Ba 3.29-3.30

[3]
A plane-wave DFT calculation with PBE was carried out for a geometry-optimized Co4Ag structure.

ρ = 8493 kg/m³
energy above the most stable polymorph in this dataset = 133 meV per atom
final energy = -5.844 eV per atom

Cell: 5.7346 5.7346 5.7346 Å, 143.22 143.22 52.99°
Closest atoms and distances in Å follow each position.
Atoms (fractional coordinates):
Co 0.7500 0.2500 0.5000  8 Co 2.31-2.56
Co 0.3903 0.3903 0.0000  5 Co 2.25-2.31
Co 0.6097 0.6097 0.0000  5 Co 2.25-2.31
Co 0.2500 0.7500 0.5000  8 Co 2.31-2.56
Ag 0.0000 0.0000 0.0000  8 Co 2.80

[4]
A plane-wave DFT calculation with PBE was carried out for a geometry-optimized LaBr3N structure.

uncorrected formation energy = -0.5031 eV per atom
ρ = 3209 kg/m³
energy above the most stable polymorph in this dataset = 49 meV per atom
final energy = -4.157 eV per atom

Cell: 5.8790 5.8790 5.8790 Å, 90.00 90.00 90.00°
Closest atoms and distances in Å follow each position.
Atoms (fractional coordinates):
N 0.5000 0.5000 0.5000  12 Br 4.16
Br 0.0000 0.5000 0.0000  2 La 2.94
Br 0.0000 0.0000 0.5000  2 La 2.94
Br 0.5000 0.0000 0.0000  2 La 2.94
La 0.0000 0.0000 0.0000  6 Br 2.94

Q: Number 4 is which compound?
A: LaBr3N

Q: Which value of ρ does entry 3 give?
A: 8493 kg/m³